A relaxed structure of As4Os3. Source: the Alexandria database, functional GGA-PBEsol.

Geometry as extended XYZ:
```
7
Lattice="-0.1418 1.7491 -2.8732 1.5931 -2.4978 -1.5992 -9.3118 -3.7613 0.1422" Properties=species:S:1:pos:R:3 pbc="T T T"
As -5.0129 -3.1385 -3.6357
As -2.8476 -1.3716 -0.6945
As -0.4459 -0.9387 -2.5219
As -7.4146 -3.5714 -1.8083
Os 0.0000 0.0000 0.0000
Os -2.7606 -2.0536 -3.0864
Os -5.0999 -2.4565 -1.2438
```

D(E_F): 6.93 states/eV per cell
E: -7.636 eV/atom
theoretical density: 13.068 g cm⁻³
energy relative to the elements: 0.5175 eV per atom